Below is a relaxed VPb2Se3O10 crystal, with properties calculated at the PBE+U level.

Computed properties:
Density of states at the Fermi level in states/eV/cell: 0.000
Electronic total energy in eV/atom: -5.860

Geometry as CIF:
```
data_VPb2Se3O10
_space_group_name_H-M_alt 'P 1 21/c 1'
_space_group_IT_number 14
_cell_length_a 5.297
_cell_length_b 16.344
_cell_length_c 12.654
_cell_angle_alpha 90.00
_cell_angle_beta 113.69
_cell_angle_gamma 90.00
loop_
_space_group_symop_operation_xyz
'x,y,z'
'-x,-y,-z'
'-x,y+1/2,-z+1/2'
'x,-y+1/2,z+1/2'
loop_
_atom_site_label
_atom_site_type_symbol
_atom_site_fract_x
_atom_site_fract_y
_atom_site_fract_z
V1 V 0.180 0.190 0.434
Pb1 Pb 0.213 0.091 0.942
Pb2 Pb 0.443 0.504 0.186
Se1 Se 0.095 0.624 0.343
Se2 Se 0.189 0.648 0.919
Se3 Se 0.463 0.712 0.711
O1 O 0.061 0.613 0.201
O2 O 0.069 0.115 0.536
O3 O 0.151 0.577 0.815
O4 O 0.178 0.069 0.153
O5 O 0.178 0.744 0.592
O6 O 0.251 0.241 0.298
O7 O 0.355 0.551 0.405
O8 O 0.364 0.236 0.026
O9 O 0.491 0.613 0.664
O10 O 0.493 0.612 0.033
```